No. 1
# LiTaHg2W (PBEsol, relaxed)
# Energy of formation from the pure elements in meV per atom: 1075
# Density in kg/m³: 15243
# D(E_F) in states/eV/f.u.: 2.657
# Magnetization in μB/cell: 0.0
data_LiTaHg2W
_cell_length_a 4.299
_cell_length_b 4.299
_cell_length_c 4.555
_cell_angle_alpha 90.00
_cell_angle_beta 90.00
_cell_angle_gamma 90.00
_symmetry_space_group_name_H-M 'P 4/m m m'
_symmetry_Int_Tables_number 123
_symmetry_space_group_name_Hall '-P 4 2'
loop_
_atom_site_label
_atom_site_type_symbol
_atom_site_fract_x
_atom_site_fract_y
_atom_site_fract_z
_atom_site_occupancy
Li1 Li 0.000 0.000 0.000 1
Ta1 Ta 0.500 0.500 0.500 1
Hg1 Hg 0.000 0.500 0.000 1
W1 W 0.000 0.000 0.500 1

No. 2
# LiTc4Hg (PBEsol, relaxed)
# Energy of formation from the pure elements in meV per atom: 510
# Density in kg/m³: 10541
# D(E_F) in states/eV/f.u.: 4.905
# Magnetization in μB/cell: 0.0
data_LiTc4Hg
_cell_length_a 7.229
_cell_length_b 7.229
_cell_length_c 7.229
_cell_angle_alpha 90.00
_cell_angle_beta 90.00
_cell_angle_gamma 90.00
_symmetry_space_group_name_H-M 'F -4 3 m'
_symmetry_Int_Tables_number 216
_symmetry_space_group_name_Hall 'F -4 2 3'
loop_
_atom_site_label
_atom_site_type_symbol
_atom_site_fract_x
_atom_site_fract_y
_atom_site_fract_z
_atom_site_occupancy
Li1 Li 0.000 0.000 0.000 1
Tc1 Tc 0.125 0.125 0.625 1
Hg1 Hg 0.250 0.250 0.250 1

No. 3
# Li4TcHg (PBEsol, relaxed)
# Energy of formation from the pure elements in meV per atom: 336
# Density in kg/m³: 6515
# D(E_F) in states/eV/f.u.: 5.750
# Magnetization in μB/cell: 4.3
data_Li4TcHg
_cell_length_a 6.929
_cell_length_b 6.929
_cell_length_c 6.929
_cell_angle_alpha 90.00
_cell_angle_beta 90.00
_cell_angle_gamma 90.00
_symmetry_space_group_name_H-M 'F -4 3 m'
_symmetry_Int_Tables_number 216
_symmetry_space_group_name_Hall 'F -4 2 3'
loop_
_atom_site_label
_atom_site_type_symbol
_atom_site_fract_x
_atom_site_fract_y
_atom_site_fract_z
_atom_site_occupancy
Li1 Li 0.124 0.124 0.376 1
Tc1 Tc 0.250 0.250 0.750 1
Hg1 Hg 0.000 0.000 0.000 1